First-principles (PBE) data for an optimized crystal structure of MgPaPd2O8, as listed in Alexandria.

```
MgPaPd2O8
1.0
-3.474 3.474 3.387
3.474 -3.474 3.387
3.474 3.474 -3.387
Mg Pa Pd O
1 1 2 8
Cartesian
0.000 0.000 0.000 Mg
3.474 0.000 1.694 Pa
0.000 0.000 3.387 Pd
0.000 3.474 1.694 Pd
2.230 3.474 -1.477 O
1.244 0.000 1.910 O
0.000 2.214 0.236 O
3.474 2.230 1.477 O
0.000 4.734 0.236 O
0.000 1.244 4.864 O
-1.260 3.474 3.151 O
1.260 3.474 3.151 O
```

Values from the calculation:
The value obtained for the total moment is 0.000 μB/f.u. The space group is No. 119. For the raw total energy, the calculation gives -6.39 eV/atom. The calculation puts the calculated density at 6.1 g cm⁻³. For the raw formation energy, the calculation gives -1298 meV/atom.